First-principles (PBE) data for a relaxed structure of HfGeAu2, as listed in the Alexandria database.

```
data_HfGeAu2
_chemical_formula_sum 'Hf3 Ge3 Au6'
_symmetry_space_group_name_H-M 'R -3 m'
_symmetry_Int_Tables_number 166
_symmetry_space_group_name_Hall '-R 3 2"'
_cell_length_a 2.9829
_cell_length_b 2.9829
_cell_length_c 31.1532
_cell_angle_alpha 90.00
_cell_angle_beta 90.00
_cell_angle_gamma 120.00
loop_
_atom_site_label
_atom_site_type_symbol
_atom_site_fract_x
_atom_site_fract_y
_atom_site_fract_z
_atom_site_occupancy
Hf1 Hf 0.0000 0.0000 0.0000 1
Ge1 Ge 0.0000 0.0000 0.5000 1
Au1 Au 0.0000 0.0000 0.0877 1
```

The calculation puts the formation energy at 174 meV/atom. The final energy comes out at -5.11 eV/atom.

---

First-principles (PBE) data for a relaxed structure of La3Ho4Tm3, as listed in the Alexandria database.

```
data_La3Ho4Tm3
_chemical_formula_sum 'La6 Ho8 Tm6'
_symmetry_space_group_name_H-M 'A m m 2'
_symmetry_Int_Tables_number 38
_cell_length_a 3.700
_cell_length_b 13.436
_cell_length_c 13.438
_cell_angle_alpha 90.00
_cell_angle_beta 90.00
_cell_angle_gamma 90.00
loop_
_symmetry_equiv_pos_as_xyz
'x,y,z'
'-x,-y,z'
'-x,y,z'
'x,-y,z'
'x,y+1/2,z+1/2'
'-x,-y+1/2,z+1/2'
'-x,y+1/2,z+1/2'
'x,-y+1/2,z+1/2'
loop_
_atom_site_label
_atom_site_type_symbol
_atom_site_fract_x
_atom_site_fract_y
_atom_site_fract_z
_atom_site_occupancy
La1 La 0.000 0.000 0.000 1
La2 La 0.500 0.244 0.578 1
Ho1 Ho 0.500 0.000 0.207 1
Ho2 Ho 0.500 0.000 0.451 1
Ho3 Ho 0.500 0.125 0.821 1
Tm1 Tm 0.000 0.000 0.653 1
Tm2 Tm 0.000 0.171 0.328 1
```

The calculation puts the formation energy at 83 meV/atom. The final energy comes out at -4.57 eV/atom.